{"formula": "CuNi3P5", "functional": "GGA-PBE", "state": "relaxed", "cell": [[4.698, 0.000, 0.000], [-2.349, 4.068, 0.000], [0.000, 0.000, 6.501]], "species": ["Cu", "Ni", "Ni", "Ni", "P", "P", "P", "P", "P"], "fractional_positions": [[0.000, 0.000, 0.000], [0.000, 0.500, 0.500], [0.500, 0.000, 0.500], [0.500, 0.500, 0.500], [0.000, 0.000, 0.500], [0.333, 0.667, 0.198], [0.333, 0.667, 0.802], [0.667, 0.333, 0.198], [0.667, 0.333, 0.802]], "total_energy_ev_per_cell": -45.51}

---

{"formula": "GdBeO3", "functional": "GGA-PBE", "state": "relaxed", "cell": [[2.596, -2.600, 0.000], [2.596, 2.600, 0.000], [-0.069, 0.000, 5.401]], "species": ["Gd", "Be", "O", "O", "O"], "fractional_positions": [[0.000, 0.000, 0.000], [0.495, 0.495, 0.725], [0.496, 0.997, 0.787], [0.996, 0.996, 0.391], [0.997, 0.496, 0.787]], "total_energy_ev_per_cell": -31.85}

---

{"formula": "HoAlW", "functional": "GGA-PBE", "state": "relaxed", "cell": [[0.000, 3.355, 3.355], [3.355, 0.000, 3.355], [3.355, 3.355, 0.000]], "species": ["Ho", "Al", "W"], "fractional_positions": [[0.000, 0.000, 0.000], [0.750, 0.750, 0.750], [0.250, 0.250, 0.250]], "de_polymorph_mev_per_atom": 738}

---

{"formula": "Be2Sn2Pt3", "functional": "GGA-PBE", "state": "relaxed", "cell": [[2.104, 1.215, 7.670], [-2.104, 1.215, 7.670], [0.000, -2.429, 7.670]], "species": ["Be", "Be", "Sn", "Sn", "Pt", "Pt", "Pt"], "fractional_positions": [[0.000, 0.000, 0.000], [0.498, 0.498, 0.498], [0.255, 0.255, 0.255], [0.763, 0.763, 0.763], [0.383, 0.383, 0.383], [0.645, 0.645, 0.645], [0.873, 0.873, 0.873]], "total_energy_ev_per_cell": -35.86}

---

{"formula": "ThTaAg", "functional": "GGA-PBE", "state": "relaxed", "cell": [[0.000, 3.393, 3.393], [3.393, 0.000, 3.393], [3.393, 3.393, 0.000]], "species": ["Th", "Ta", "Ag"], "fractional_positions": [[0.000, 0.000, 0.000], [0.500, 0.500, 0.500], [0.750, 0.750, 0.750]], "formation_enthalpy_0k_ev_per_fu": 2.60}

---

{"formula": "SrPmSn", "functional": "GGA-PBE", "state": "relaxed", "cell": [[0.000, 3.827, 3.827], [3.827, 0.000, 3.827], [3.827, 3.827, 0.000]], "species": ["Sr", "Pm", "Sn"], "fractional_positions": [[0.000, 0.000, 0.000], [0.750, 0.750, 0.750], [0.500, 0.500, 0.500]], "total_energy_ev_per_cell": -10.37}

---

{"formula": "ScCuOs2", "functional": "GGA-PBE", "state": "relaxed", "cell": [[0.000, 3.105, 3.105], [3.105, 0.000, 3.105], [3.105, 3.105, 0.000]], "species": ["Sc", "Cu", "Os", "Os"], "fractional_positions": [[0.000, 0.000, 0.000], [0.250, 0.250, 0.250], [0.500, 0.500, 0.500], [0.750, 0.750, 0.750]], "formation_enthalpy_0k_ev_per_fu": 0.28}

---

{"formula": "RbPrZnSe3", "functional": "GGA-PBE", "state": "relaxed", "cell": [[9.559, -2.205, 0.000], [9.559, 2.205, 0.000], [-1.852, 0.000, 8.767]], "species": ["Rb", "Rb", "Pr", "Pr", "Zn", "Zn", "Se", "Se", "Se", "Se", "Se", "Se"], "fractional_positions": [[0.140, 0.140, 0.068], [0.860, 0.860, 0.932], [0.166, 0.166, 0.566], [0.834, 0.834, 0.434], [0.469, 0.469, 0.258], [0.531, 0.531, 0.742], [0.000, 0.000, 0.500], [0.323, 0.323, 0.645], [0.340, 0.340, 0.211], [0.500, 0.500, 0.000], [0.660, 0.660, 0.789], [0.677, 0.677, 0.355]], "total_energy_ev_per_cell": -49.28}